Model w:
The following is a meta-GGA SCAN calculation of a PBEsol-optimized structure of CrOsBr2, from Alexandria via LeMat-Bulk.

Lattice parameters (Å, degrees): 3.0374 4.2383 5.6585 90.00 90.00 90.00
Space group Pmmm (No. 47)
Inequivalent atoms, fractional coordinates:
Cr1 0.0000 0.0000 0.0000 [1 per cell]
Os1 0.5000 0.0000 0.5000 [1 per cell]
Br1 0.0000 0.5000 0.5000 [1 per cell]
Br2 0.5000 0.5000 0.0000 [1 per cell]

***

Model x:
The following is a meta-GGA SCAN calculation of a PBEsol-optimized structure of CrOsBr2, from Alexandria via LeMat-Bulk.

Lattice parameters (Å, degrees): 6.4262 6.4262 6.4262 90.00 90.00 90.00
Space group Fm-3m (No. 225)
Inequivalent atoms, fractional coordinates:
Cr1 0.0000 0.0000 0.0000 [4 per cell]
Os1 0.0000 0.0000 0.5000 [4 per cell]
Br1 0.2500 0.2500 0.2500 [8 per cell]

***

Most stable: model w. Least stable: model x.

***

Model w:
The following is a meta-GGA SCAN calculation of a PBEsol-optimized structure of Cr2OsBr, from Alexandria via LeMat-Bulk.

Lattice parameters (Å, degrees): 5.4664 7.1364 2.8857 90.00 90.00 90.00
Space group Cmmm (No. 65)
Inequivalent atoms, fractional coordinates:
Cr1 0.2500 0.2500 0.0000 [4 per cell]
Os1 0.0000 0.0000 0.5000 [2 per cell]
Br1 0.0000 0.5000 0.5000 [2 per cell]

***

Model x:
The following is a meta-GGA SCAN calculation of a PBEsol-optimized structure of Cr2OsBr, from Alexandria via LeMat-Bulk.

Lattice parameters (Å, degrees): 2.8813 4.5838 9.0093 90.00 90.00 90.00
Space group Cmm2 (No. 35)
Inequivalent atoms, fractional coordinates:
Cr1 0.0000 0.0000 0.0000 [2 per cell]
Cr2 0.0000 0.5000 0.1931 [2 per cell]
Os1 0.0000 0.5000 0.7774 [2 per cell]
Br1 0.0000 0.0000 0.4314 [2 per cell]

***

Model y:
The following is a meta-GGA SCAN calculation of a PBEsol-optimized structure of Cr2OsBr, from Alexandria via LeMat-Bulk.

Lattice parameters (Å, degrees): 8.6733 2.8315 7.2101 90.00 125.15 90.00
Space group C2/m (No. 12)
Inequivalent atoms, fractional coordinates:
Cr1 0.2223 0.0000 0.3649 [4 per cell]
Os1 0.0000 0.0000 0.5000 [2 per cell]
Br1 0.0000 0.5000 0.0000 [2 per cell]

***

Most stable: model y. Least stable: model x.